Here is crystalline KPaFe2O8 at its relaxed geometry from Alexandria via LeMat-Bulk. Energies are from PBE+U.

Output
The value obtained for the energy is -6.68 eV/atom. The theoretical density comes out at 3.74 Mg/m³. The value obtained for the magnetic moment is 6.00 μB/f.u. The density of states at the Fermi level is 7.86 states/eV/f.u.

Cell lengths 5.8595, 5.8595, 7.6195 Å; angles 90.00, 90.00, 120.00 degrees
Space group P-3 (No. 147)
Inequivalent atoms, fractional coordinates:
K1 0.0000 0.0000 0.0000 [1 per cell]
Pa1 0.0000 0.0000 0.5000 [1 per cell]
Fe1 0.3333 0.6667 0.7488 [2 per cell]
O1 0.1631 0.3321 0.6723 [6 per cell]
O2 0.3333 0.6667 0.9677 [2 per cell]